(1)
# LiTiTlCl6 (PBE, relaxed)
# Total moment: 0.00 μB/f.u.
# Formation energy without anion corrections: -1.4992 eV per atom
# Theoretical density: 3.1 g/cm3
data_LiTiTlCl6
_cell_length_a 6.5149
_cell_length_b 6.5149
_cell_length_c 6.9519
_cell_angle_alpha 90.00
_cell_angle_beta 90.00
_cell_angle_gamma 120.00
_symmetry_space_group_name_H-M 'P 3 1 2'
_symmetry_Int_Tables_number 149
loop_
_symmetry_equiv_pos_as_xyz
'x,y,z'
'-y,x-y,z'
'-x+y,-x,z'
'-y,-x,-z'
'-x+y,y,-z'
'x,x-y,-z'
loop_
_atom_site_label
_atom_site_type_symbol
_atom_site_fract_x
_atom_site_fract_y
_atom_site_fract_z
_atom_site_occupancy
Li1 Li 0.0000 0.0000 0.0000 1
Ti1 Ti 0.3333 0.6667 0.0000 1
Tl1 Tl 0.6667 0.3333 0.5000 1
Cl1 Cl 0.0535 0.3574 0.1975 1


(2)
# TiPbS2 (PBE, relaxed)
# Total moment: 0.33 μB/f.u.
# Formation energy without anion corrections: -0.8492 eV per atom
# Theoretical density: 6.2 g/cm3
data_TiPbS2
_cell_length_a 3.252
_cell_length_b 29.163
_cell_length_c 3.617
_cell_angle_alpha 90.00
_cell_angle_beta 90.00
_cell_angle_gamma 90.00
_symmetry_space_group_name_H-M 'C m c m'
_symmetry_Int_Tables_number 63
_symmetry_space_group_name_Hall '-C 2c 2'
loop_
_atom_site_label
_atom_site_type_symbol
_atom_site_fract_x
_atom_site_fract_y
_atom_site_fract_z
_atom_site_occupancy
Ti1 Ti 0.000 0.191 0.250 1
Pb1 Pb 0.000 0.445 0.250 1
S1 S 0.000 0.282 0.250 1
S2 S 0.000 0.370 0.750 1


(3)
# Ti4In2C (PBE, relaxed)
# Total moment: 0.00 μB/f.u.
# Theoretical density: 5.8 g/cm3
# Formation enthalpy at 0 K: -0.33 eV per atom
data_Ti4In2C
_cell_length_a 7.542
_cell_length_b 10.369
_cell_length_c 3.155
_cell_angle_alpha 90.00
_cell_angle_beta 90.00
_cell_angle_gamma 90.00
_symmetry_space_group_name_H-M 'P b a m'
_symmetry_Int_Tables_number 55
loop_
_symmetry_equiv_pos_as_xyz
'x,y,z'
'-x,-y,-z'
'-x,-y,z'
'x,y,-z'
'x+1/2,-y+1/2,-z'
'-x+1/2,y+1/2,z'
'-x+1/2,y+1/2,-z'
'x+1/2,-y+1/2,z'
loop_
_atom_site_label
_atom_site_type_symbol
_atom_site_fract_x
_atom_site_fract_y
_atom_site_fract_z
_atom_site_occupancy
Ti1 Ti 0.130 0.175 0.000 1
Ti2 Ti 0.162 0.931 0.500 1
In1 In 0.054 0.637 0.500 1
C1 C 0.000 0.000 0.000 1